i:
VASP calculation (PBE-GGA) on an optimized crystal structure of La4In2Ir.

Values from the calculation:
space-group type: No. 12
DOS at the Fermi energy: 16.33 states/eV per cell

Unit cell a=11.979 b=4.784 c=9.029 alpha=90.00 beta=121.00 gamma=90.00
Atoms (fractional coordinates):
La  0.075  0.000  0.349
La  0.170  0.500  0.061
La  0.330  0.000  0.939
La  0.425  0.500  0.651
La  0.575  0.500  0.349
La  0.670  0.000  0.061
La  0.830  0.500  0.939
La  0.925  0.000  0.651
In  0.139  0.500  0.658
In  0.361  0.000  0.342
In  0.639  0.000  0.658
In  0.861  0.500  0.342
Ir  0.000  0.000  0.000
Ir  0.500  0.500  0.000

ii:
VASP calculation (PBE-GGA) on an optimized crystal structure of La4In2Ir.

Values from the calculation:
space-group type: No. 139
DOS at the Fermi energy: 12.38 states/eV per cell

Unit cell a=5.532 b=5.532 c=16.229 alpha=90.00 beta=90.00 gamma=90.00
Atoms (fractional coordinates):
La  0.000  0.000  0.180
La  0.000  0.000  0.820
La  0.000  0.500  0.000
La  0.000  0.500  0.500
La  0.500  0.000  0.000
La  0.500  0.000  0.500
La  0.500  0.500  0.320
La  0.500  0.500  0.680
In  0.000  0.000  0.375
In  0.000  0.000  0.625
In  0.500  0.500  0.125
In  0.500  0.500  0.875
Ir  0.000  0.000  0.000
Ir  0.500  0.500  0.500

Quick one: most stable of them? i

i:
VASP calculation (PBE-GGA) on an optimized crystal structure of LiLa2InIr.

Values from the calculation:
space-group type: No. 123
DOS at the Fermi energy: 4.71 states/eV per cell

Unit cell a=5.530 b=5.530 c=4.882 alpha=90.00 beta=90.00 gamma=90.00
Atoms (fractional coordinates):
Li  0.000  0.000  0.000
La  0.000  0.500  0.500
La  0.500  0.000  0.500
In  0.500  0.500  0.000
Ir  0.000  0.000  0.500

ii:
VASP calculation (PBE-GGA) on an optimized crystal structure of LiLa2InIr.

Values from the calculation:
space-group type: No. 123
DOS at the Fermi energy: 4.94 states/eV per cell

Unit cell a=5.572 b=5.572 c=5.255 alpha=90.00 beta=90.00 gamma=90.00
Atoms (fractional coordinates):
Li  0.000  0.000  0.000
La  0.000  0.500  0.500
La  0.500  0.000  0.500
In  0.500  0.500  0.000
Ir  0.500  0.500  0.500

Quick one: most stable of them? i

i:
VASP calculation (PBE-GGA) on an optimized crystal structure of SrLa2InIr.

Values from the calculation:
space-group type: No. 123
DOS at the Fermi energy: 3.84 states/eV per cell

Unit cell a=5.628 b=5.628 c=5.406 alpha=90.00 beta=90.00 gamma=90.00
Atoms (fractional coordinates):
Sr  0.000  0.000  0.000
La  0.000  0.500  0.500
La  0.500  0.000  0.500
In  0.500  0.500  0.000
Ir  0.500  0.500  0.500

ii:
VASP calculation (PBE-GGA) on an optimized crystal structure of SrLa2InIr.

Values from the calculation:
space-group type: No. 123
DOS at the Fermi energy: 5.24 states/eV per cell

Unit cell a=5.539 b=5.539 c=5.882 alpha=90.00 beta=90.00 gamma=90.00
Atoms (fractional coordinates):
Sr  0.000  0.000  0.000
La  0.000  0.500  0.500
La  0.500  0.000  0.500
In  0.500  0.500  0.000
Ir  0.000  0.000  0.500

Quick one: most stable of them? ii

i:
VASP calculation (PBE-GGA) on an optimized crystal structure of La2ZnInIr.

Values from the calculation:
space-group type: No. 123
DOS at the Fermi energy: 3.89 states/eV per cell

Unit cell a=5.517 b=5.517 c=4.918 alpha=90.00 beta=90.00 gamma=90.00
Atoms (fractional coordinates):
La  0.000  0.500  0.000
La  0.500  0.000  0.000
Zn  0.000  0.000  0.500
In  0.500  0.500  0.500
Ir  0.000  0.000  0.000

ii:
VASP calculation (PBE-GGA) on an optimized crystal structure of La2ZnInIr.

Values from the calculation:
space-group type: No. 11
DOS at the Fermi energy: 6.44 states/eV per cell

Unit cell a=7.436 b=4.559 c=8.064 alpha=90.00 beta=107.75 gamma=90.00
Atoms (fractional coordinates):
La  0.135  0.250  0.335
La  0.279  0.250  0.949
La  0.721  0.750  0.051
La  0.865  0.750  0.665
Zn  0.447  0.750  0.325
Zn  0.553  0.250  0.675
In  0.333  0.750  0.650
In  0.667  0.250  0.350
Ir  0.123  0.750  0.089
Ir  0.877  0.250  0.911

Quick one: most stable of them? ii

i:
VASP calculation (PBE-GGA) on an optimized crystal structure of Li4InIr.

Values from the calculation:
space-group type: No. 12
DOS at the Fermi energy: 3.65 states/eV per cell

Unit cell a=8.998 b=4.329 c=5.386 alpha=90.00 beta=116.47 gamma=90.00
Atoms (fractional coordinates):
Li  0.148  0.000  0.320
Li  0.178  0.000  0.875
Li  0.322  0.500  0.125
Li  0.352  0.500  0.680
Li  0.648  0.500  0.320
Li  0.678  0.500  0.875
Li  0.822  0.000  0.125
Li  0.852  0.000  0.680
In  0.000  0.500  0.500
In  0.500  0.000  0.500
Ir  0.000  0.500  0.000
Ir  0.500  0.000  0.000

ii:
VASP calculation (PBE-GGA) on an optimized crystal structure of Li4InIr.

Values from the calculation:
space-group type: No. 216
DOS at the Fermi energy: 2.58 states/eV per cell

Unit cell a=4.913 b=4.913 c=4.913 alpha=60.00 beta=60.00 gamma=60.00
Atoms (fractional coordinates):
Li  0.378  0.378  0.378
Li  0.378  0.378  0.867
Li  0.378  0.867  0.378
Li  0.867  0.378  0.378
In  0.000  0.000  0.000
Ir  0.750  0.750  0.750

iii:
VASP calculation (PBE-GGA) on an optimized crystal structure of Li4InIr.

Values from the calculation:
space-group type: No. 11
DOS at the Fermi energy: 4.39 states/eV per cell

Unit cell a=5.434 b=4.389 c=8.106 alpha=90.00 beta=109.39 gamma=90.00
Atoms (fractional coordinates):
Li  0.029  0.250  0.084
Li  0.173  0.250  0.416
Li  0.257  0.750  0.584
Li  0.445  0.750  0.916
Li  0.555  0.250  0.084
Li  0.743  0.250  0.416
Li  0.827  0.750  0.584
Li  0.971  0.750  0.916
In  0.379  0.750  0.258
In  0.621  0.250  0.742
Ir  0.127  0.250  0.754
Ir  0.873  0.750  0.246

Quick one: most stable of them? iii

i:
VASP calculation (PBE-GGA) on an optimized crystal structure of LiIn2Ir.

Values from the calculation:
space-group type: No. 166
DOS at the Fermi energy: 5.30 states/eV per cell

Unit cell a=3.165 b=3.165 c=26.787 alpha=90.00 beta=90.00 gamma=120.00
Atoms (fractional coordinates):
Li  0.000  0.000  0.000
Li  0.333  0.667  0.667
Li  0.667  0.333  0.333
In  0.000  0.000  0.246
In  0.000  0.000  0.754
In  0.333  0.667  0.421
In  0.333  0.667  0.912
In  0.667  0.333  0.088
In  0.667  0.333  0.579
Ir  0.000  0.000  0.500
Ir  0.333  0.667  0.167
Ir  0.667  0.333  0.833

ii:
VASP calculation (PBE-GGA) on an optimized crystal structure of LiIn2Ir.

Values from the calculation:
space-group type: No. 160
DOS at the Fermi energy: 7.11 states/eV per cell

Unit cell a=4.399 b=4.399 c=15.246 alpha=90.00 beta=90.00 gamma=120.00
Atoms (fractional coordinates):
Li  0.000  0.000  0.000
Li  0.333  0.667  0.667
Li  0.667  0.333  0.333
In  0.000  0.000  0.576
In  0.000  0.000  0.779
In  0.333  0.667  0.243
In  0.333  0.667  0.445
In  0.667  0.333  0.112
In  0.667  0.333  0.909
Ir  0.000  0.000  0.183
Ir  0.333  0.667  0.850
Ir  0.667  0.333  0.517

Quick one: most stable of them? ii